(1)
Density functional theory data (PBE-GGA) for a relaxed RhW2C crystal.

Values from the calculation:
E_form ... 0.520 eV per atom
Crystal system ... trigonal

Cell: 2.8947 2.8947 23.0786 Å, 90.00 90.00 120.00°
Last column: nearest neighbours and their distance in Å.
Sites, in units of the cell vectors:
Rh 0.0000 0.0000 0.0000  2 W 2.51
Rh 0.3333 0.6667 0.6667  2 W 2.51
Rh 0.6667 0.3333 0.3333  2 W 2.51
W 0.0000 0.0000 0.1087  3 C 2.14
W 0.0000 0.0000 0.8913  3 C 2.14
W 0.3333 0.6667 0.5580  3 C 2.14
W 0.3333 0.6667 0.7753  3 C 2.14
W 0.6667 0.3333 0.2247  3 C 2.14
W 0.6667 0.3333 0.4420  3 C 2.14
C 0.0000 0.0000 0.5000  6 W 2.14
C 0.3333 0.6667 0.1667  6 W 2.14
C 0.6667 0.3333 0.8333  6 W 2.14

---

(2)
Density functional theory data (PBE-GGA) for a relaxed TbScTeO2 crystal.

Values from the calculation:
Energy relative to the elements, uncorrected ... -2.87 eV/atom
Crystal system ... monoclinic

Cell: 6.6786 4.0150 7.5044 Å, 90.00 108.21 90.00°
Last column: nearest neighbours and their distance in Å.
Sites, in units of the cell vectors:
Tb 0.1794 0.2500 0.4280  4 O 2.26-2.34
Tb 0.8206 0.7500 0.5720  4 O 2.26-2.34
Sc 0.1422 0.2500 0.9141  4 O 2.06-2.16
Sc 0.8578 0.7500 0.0859  4 O 2.06-2.16
Te 0.4581 0.7500 0.7575  1 Sc 3.01, 3 Tb 3.15-3.28
Te 0.5419 0.2500 0.2425  1 Sc 3.01, 3 Tb 3.15-3.28
O 0.0171 0.7500 0.8899  3 Sc 2.07-2.16
O 0.0183 0.7500 0.3696  1 Sc 2.06, 3 Tb 2.26-2.30
O 0.9817 0.2500 0.6304  1 Sc 2.06, 3 Tb 2.26-2.30
O 0.9829 0.2500 0.1101  3 Sc 2.07-2.16

---

(3)
Density functional theory data (PBE-GGA) for a relaxed POsC crystal.

Values from the calculation:
E above lowest polymorph ... 296.9 meV/atom
E_form ... 0.690 eV per atom
Crystal system ... trigonal

Cell: 3.2888 3.2888 16.6779 Å, 90.00 90.00 120.00°
Last column: nearest neighbours and their distance in Å.
Sites, in units of the cell vectors:
P 0.0000 0.0000 0.0000  1 C 2.15
P 0.3333 0.6667 0.6667  1 C 2.15
P 0.6667 0.3333 0.3333  1 C 2.15
Os 0.0000 0.0000 0.4253  3 C 2.00
Os 0.3333 0.6667 0.0919  3 C 2.00
Os 0.6667 0.3333 0.7586  3 C 2.00
C 0.0000 0.0000 0.1289  3 Os 2.00, 1 P 2.15
C 0.3333 0.6667 0.7956  3 Os 2.00, 1 P 2.15
C 0.6667 0.3333 0.4622  3 Os 2.00, 1 P 2.15

---

(4)
Density functional theory data (PBE-GGA) for a relaxed CaNi12As6 crystal.

Values from the calculation:
E_form ... -0.228 eV per atom
Crystal system ... trigonal

Cell: 6.7402 6.7402 6.7402 Å, 104.47 104.47 104.47°
Last column: nearest neighbours and their distance in Å.
Sites, in units of the cell vectors:
Ca 0.0000 0.0000 0.0000  18 Ni 3.31-3.62, 6 As 3.48
Ni 0.1246 0.5000 0.8754  4 As 2.31-2.32
Ni 0.1246 0.8754 0.5000  4 As 2.31-2.32
Ni 0.1668 0.4371 0.4371  3 As 2.39-2.40
Ni 0.4371 0.1668 0.4371  3 As 2.39-2.40
Ni 0.4371 0.4371 0.1668  3 As 2.39-2.40
Ni 0.5000 0.1246 0.8754  4 As 2.31-2.32
Ni 0.5000 0.8754 0.1246  4 As 2.31-2.32
Ni 0.5629 0.5629 0.8332  3 As 2.39-2.40
Ni 0.5629 0.8332 0.5629  3 As 2.39-2.40
Ni 0.8332 0.5629 0.5629  3 As 2.39-2.40
Ni 0.8754 0.1246 0.5000  4 As 2.31-2.32
Ni 0.8754 0.5000 0.1246  4 As 2.31-2.32
As 0.2448 0.2448 0.6842  7 Ni 2.31-2.40
As 0.2448 0.6842 0.2448  7 Ni 2.31-2.40
As 0.3158 0.7552 0.7552  7 Ni 2.31-2.40
As 0.6842 0.2448 0.2448  7 Ni 2.31-2.40
As 0.7552 0.3158 0.7552  7 Ni 2.31-2.40
As 0.7552 0.7552 0.3158  7 Ni 2.31-2.40

---

(5)
Density functional theory data (PBE-GGA) for a relaxed AgAsIr2 crystal.

Values from the calculation:
E_form ... 0.254 eV per atom
Crystal system ... tetragonal

Cell: 2.9598 2.9598 7.1496 Å, 90.00 90.00 90.00°
Last column: nearest neighbours and their distance in Å.
Sites, in units of the cell vectors:
Ag 0.0000 0.0000 0.0000  8 Ir 2.94, 4 Ag 2.96
As 0.0000 0.0000 0.5000  8 Ir 2.58
Ir 0.5000 0.5000 0.2883  4 As 2.58
Ir 0.5000 0.5000 0.7117  4 As 2.58

---

(6)
Density functional theory data (PBE-GGA) for a relaxed LaSi3Ir crystal.

Values from the calculation:
Energy relative to the elements, uncorrected ... 2.18 eV/atom
E above lowest polymorph ... 3040.6 meV/atom
Crystal system ... cubic

Cell: 5.1655 5.1655 5.1655 Å, 90.00 90.00 90.00°
Last column: nearest neighbours and their distance in Å.
Sites, in units of the cell vectors:
La 0.0000 0.0000 0.0000  6 Si 2.58
Si 0.0000 0.0000 0.5000  2 La 2.58
Si 0.0000 0.5000 0.0000  2 La 2.58
Si 0.5000 0.0000 0.0000  2 La 2.58
Ir 0.5000 0.5000 0.5000  12 Si 3.65

---

(7)
Density functional theory data (PBE-GGA) for a relaxed RbTcHg2F6 crystal.

Values from the calculation:
Energy relative to the elements, uncorrected ... -1.80 eV/atom
Crystal system ... trigonal

Cell: 6.3331 6.3331 7.2969 Å, 90.00 90.00 120.00°
Last column: nearest neighbours and their distance in Å.
Sites, in units of the cell vectors:
Rb 0.0000 0.0000 0.0000  6 F 2.95
Tc 0.0000 0.0000 0.5000  6 F 1.92
Hg 0.3333 0.6667 0.7911  6 F 3.33
Hg 0.6667 0.3333 0.2089  6 F 3.33
F 0.1410 0.2820 0.3443  1 Tc 1.92
F 0.1410 0.8590 0.3443  1 Tc 1.92
F 0.2820 0.1410 0.6557  1 Tc 1.92
F 0.7180 0.8590 0.3443  1 Tc 1.92
F 0.8590 0.1410 0.6557  1 Tc 1.92
F 0.8590 0.7180 0.6557  1 Tc 1.92

---

(8)
Density functional theory data (PBE-GGA) for a relaxed BaPt crystal.

Values from the calculation:
E_form ... -0.364 eV per atom
Crystal system ... orthorhombic

Cell: 9.3929 8.6704 5.6251 Å, 79.01 64.98 36.01°
Last column: nearest neighbours and their distance in Å.
Sites, in units of the cell vectors:
Ba 0.0510 0.6990 0.0510  4 Pt 3.18-3.35, 3 Ba 3.33-3.35
Ba 0.3010 0.9490 0.3010  4 Pt 3.18-3.35, 3 Ba 3.33-3.35
Ba 0.6990 0.0510 0.6990  4 Pt 3.18-3.35, 3 Ba 3.33-3.35
Ba 0.9490 0.3010 0.9490  4 Pt 3.18-3.35, 3 Ba 3.33-3.35
Pt 0.2917 0.2917 0.4583  1 Pt 2.71
Pt 0.4583 0.4583 0.2917  1 Pt 2.71
Pt 0.5417 0.5417 0.7083  1 Pt 2.71
Pt 0.7083 0.7083 0.5417  1 Pt 2.71

---

(9)
Density functional theory data (PBE-GGA) for a relaxed Ge6Bi crystal.

Values from the calculation:
E_form ... 0.340 eV per atom
Crystal system ... cubic

Cell: 7.0548 7.0548 7.0548 Å, 90.00 90.00 90.00°
Last column: nearest neighbours and their distance in Å.
Sites, in units of the cell vectors:
Ge 0.0000 0.2500 0.5000  4 Ge 2.49
Ge 0.0000 0.5000 0.2500  4 Ge 2.49
Ge 0.0000 0.5000 0.7500  4 Ge 2.49
Ge 0.0000 0.7500 0.5000  4 Ge 2.49
Ge 0.2500 0.0000 0.5000  4 Ge 2.49
Ge 0.2500 0.5000 0.0000  4 Ge 2.49
Ge 0.5000 0.0000 0.2500  4 Ge 2.49
Ge 0.5000 0.0000 0.7500  4 Ge 2.49
Ge 0.5000 0.2500 0.0000  4 Ge 2.49
Ge 0.5000 0.7500 0.0000  4 Ge 2.49
Ge 0.7500 0.0000 0.5000  4 Ge 2.49
Ge 0.7500 0.5000 0.0000  4 Ge 2.49
Bi 0.0000 0.0000 0.0000  24 Ge 3.94
Bi 0.5000 0.5000 0.5000  24 Ge 3.94

---

(10)
Density functional theory data (PBE-GGA) for a relaxed ScHgRh2 crystal.

Values from the calculation:
E_form ... -0.018 eV per atom
Crystal system ... trigonal

Cell: 3.0748 3.0748 26.3741 Å, 90.00 90.00 120.00°
Last column: nearest neighbours and their distance in Å.
Sites, in units of the cell vectors:
Sc 0.0000 0.0000 0.0000  3 Rh 2.59
Sc 0.3333 0.6667 0.6667  3 Rh 2.59
Sc 0.6667 0.3333 0.3333  3 Rh 2.59
Hg 0.0000 0.0000 0.7613  3 Rh 2.88, 3 Sc 3.06, 6 Hg 3.07
Hg 0.3333 0.6667 0.4279  3 Rh 2.88, 3 Sc 3.06, 6 Hg 3.07
Hg 0.6667 0.3333 0.0946  3 Rh 2.88, 3 Sc 3.06, 6 Hg 3.07
Rh 0.0000 0.0000 0.2617  3 Sc 2.59, 3 Rh 2.78
Rh 0.0000 0.0000 0.5138  9 Rh 2.78-3.07, 3 Hg 2.88
Rh 0.3333 0.6667 0.1805  9 Rh 2.78-3.07, 3 Hg 2.88
Rh 0.3333 0.6667 0.9283  3 Sc 2.59, 3 Rh 2.78
Rh 0.6667 0.3333 0.5950  3 Sc 2.59, 3 Rh 2.78
Rh 0.6667 0.3333 0.8471  9 Rh 2.78-3.07, 3 Hg 2.88

---

(11)
Density functional theory data (PBE-GGA) for a relaxed Zr2FeRu2 crystal.

Values from the calculation:
E_form ... -0.185 eV per atom
Crystal system ... tetragonal

Cell: 6.4624 6.4624 4.1979 Å, 90.00 90.00 90.00°
Last column: nearest neighbours and their distance in Å.
Sites, in units of the cell vectors:
Zr 0.1797 0.3203 0.0000  6 Ru 2.68-2.95
Zr 0.3203 0.8203 0.0000  6 Ru 2.68-2.95
Zr 0.6797 0.1797 0.0000  6 Ru 2.68-2.95
Zr 0.8203 0.6797 0.0000  6 Ru 2.68-2.95
Fe 0.0000 0.0000 0.5000  4 Ru 2.50
Fe 0.5000 0.5000 0.5000  4 Ru 2.50
Ru 0.1389 0.6389 0.5000  2 Fe 2.50, 1 Ru 2.54, 2 Zr 2.68
Ru 0.3611 0.1389 0.5000  2 Fe 2.50, 1 Ru 2.54, 2 Zr 2.68
Ru 0.6389 0.8611 0.5000  2 Fe 2.50, 1 Ru 2.54, 2 Zr 2.68
Ru 0.8611 0.3611 0.5000  2 Fe 2.50, 1 Ru 2.54, 2 Zr 2.68

---

(12)
Density functional theory data (PBE-GGA) for a relaxed NaNiAgP crystal.

Values from the calculation:
E_form ... -0.250 eV per atom
Crystal system ... tetragonal

Cell: 3.8868 3.8868 10.1013 Å, 90.00 90.00 90.00°
Last column: nearest neighbours and their distance in Å.
Sites, in units of the cell vectors:
Na 0.2500 0.2500 0.2457  4 P 3.07, 4 Ni 3.15, 4 Ag 3.22
Na 0.7500 0.7500 0.7543  4 P 3.07, 4 Ni 3.15, 4 Ag 3.22
Ni 0.2500 0.7500 0.0000  4 P 2.24
Ni 0.7500 0.2500 0.0000  4 P 2.24
Ag 0.2500 0.7500 0.5000  4 Ag 2.75
Ag 0.7500 0.2500 0.5000  4 Ag 2.75
P 0.2500 0.2500 0.8900  4 Ni 2.24
P 0.7500 0.7500 0.1100  4 Ni 2.24